A geometry-optimized PmPaPt2 structure, computed with PBE.

Magnetic moment: 0.00 μB/atom
Space-group type: P2_1/m, No. 11
Energy relative to the elements: -4.23 eV/f.u.
Offset from the most stable computed form: 0 meV/atom

POSCAR file:
```
PmPaPt2
1.0
5.898 0.000 0.000
0.000 4.366 0.000
-2.660 0.000 7.221
Pm Pa Pt
2 2 4
direct
0.216 0.250 0.180 Pm
0.784 0.750 0.820 Pm
0.234 0.250 0.683 Pa
0.766 0.750 0.317 Pa
0.299 0.750 0.463 Pt
0.321 0.750 0.943 Pt
0.679 0.250 0.057 Pt
0.701 0.250 0.537 Pt
```

***

A geometry-optimized PmPaPt structure, computed with PBE.

Magnetic moment: 0.00 μB/atom
Space-group type: P-6m2, No. 187
Energy relative to the elements: -0.86 eV/f.u.
Offset from the most stable computed form: 278 meV/atom

POSCAR file:
```
PmPaPt
1.0
4.672 0.000 0.000
-2.336 4.046 0.000
0.000 0.000 4.334
Pm Pa Pt
1 1 1
direct
0.000 0.000 0.000 Pm
0.667 0.333 0.500 Pa
0.333 0.667 0.500 Pt
```

***

A geometry-optimized PmPaPt2 structure, computed with PBE.

Magnetic moment: 0.00 μB/atom
Space-group type: R-3m, No. 166
Energy relative to the elements: -3.56 eV/f.u.
Offset from the most stable computed form: 168 meV/atom

POSCAR file:
```
PmPaPt2
1.0
4.775 0.000 0.000
-2.388 4.135 0.000
0.000 0.000 14.336
Pm Pa Pt
3 3 6
direct
0.000 0.000 0.000 Pm
0.333 0.667 0.667 Pm
0.667 0.333 0.333 Pm
0.000 0.000 0.500 Pa
0.333 0.667 0.167 Pa
0.667 0.333 0.833 Pa
0.000 0.000 0.221 Pt
0.000 0.000 0.779 Pt
0.333 0.667 0.446 Pt
0.333 0.667 0.888 Pt
0.667 0.333 0.112 Pt
0.667 0.333 0.554 Pt
```

***

Number 1: final energy -61.12 eV per cell. Number 2: final energy -21.14 eV per cell. Number 3: final energy -89.66 eV per cell.